Entry 1:
# Pm2FeAs4Pd3

Crystalline Pm2FeAs4Pd3 at its relaxed geometry (GGA-PBE, Alexandria via LeMat-Bulk).

Calculated values
Crystal system   tetragonal
Total moment   2.16 μB per formula unit
Energy   -5.974 eV/atom
Formation energy   -0.76 eV/atom

Cell: 4.3227 4.3227 10.1668 Å, 90.00 90.00 90.00°
Sites, in units of the cell vectors:
Pm1 0.0000 0.5000 0.2477
Pm2 0.5000 0.0000 0.7523
Fe1 0.5000 0.5000 0.0000
As1 0.0000 0.0000 0.5000
As2 0.0000 0.5000 0.8746
As3 0.5000 0.0000 0.1254
As4 0.5000 0.5000 0.5000
Pd1 0.0000 0.0000 0.0000
Pd2 0.0000 0.5000 0.6321
Pd3 0.5000 0.0000 0.3679

Entry 2:
# Pr2FeAs4Pd3

Crystalline Pr2FeAs4Pd3 at its relaxed geometry (GGA-PBE, Alexandria via LeMat-Bulk).

Calculated values
Crystal system   tetragonal
Total moment   2.22 μB per formula unit
Energy   -5.997 eV/atom
Formation energy   -0.78 eV/atom

Cell: 4.3771 4.3771 10.0778 Å, 90.00 90.00 90.00°
Sites, in units of the cell vectors:
Pr1 0.0000 0.5000 0.2504
Pr2 0.5000 0.0000 0.7496
Fe1 0.0000 0.0000 0.5000
As1 0.0000 0.0000 0.0000
As2 0.0000 0.5000 0.6250
As3 0.5000 0.0000 0.3750
As4 0.5000 0.5000 0.0000
Pd1 0.0000 0.5000 0.8725
Pd2 0.5000 0.0000 0.1275
Pd3 0.5000 0.5000 0.5000

Entry 3:
# FeAs2PdSe

Crystalline FeAs2PdSe at its relaxed geometry (GGA-PBE, Alexandria via LeMat-Bulk).

Calculated values
Crystal system   tetragonal
Total moment   2.38 μB per formula unit
Raw formation energy   0.94 eV per atom
Energy   -4.344 eV/atom
Offset from the most stable computed form   49.29 kJ per mole of atoms

Cell: 5.0508 5.0508 4.3070 Å, 90.00 90.00 90.00°
Sites, in units of the cell vectors:
Fe1 0.0000 0.0000 0.0000
As1 0.0000 0.5000 0.5000
As2 0.5000 0.0000 0.5000
Pd1 0.5000 0.5000 0.0000
Se1 0.0000 0.0000 0.5000

Entry 4:
# FeAsPdSe2

Crystalline FeAsPdSe2 at its relaxed geometry (GGA-PBE, Alexandria via LeMat-Bulk).

Calculated values
Crystal system   tetragonal
Total moment   1.66 μB per formula unit
Raw formation energy   0.48 eV per atom
Energy   -4.577 eV/atom
Offset from the most stable computed form   0.00 kJ per mole of atoms

Cell: 4.7424 4.7424 4.4422 Å, 90.00 90.00 90.00°
Sites, in units of the cell vectors:
Fe1 0.0000 0.0000 0.0000
As1 0.0000 0.0000 0.5000
Pd1 0.5000 0.5000 0.5000
Se1 0.0000 0.5000 0.0000
Se2 0.5000 0.0000 0.0000

Entry 5:
# FeAs2PdSe

Crystalline FeAs2PdSe at its relaxed geometry (GGA-PBE, Alexandria via LeMat-Bulk).

Calculated values
Crystal system   tetragonal
Total moment   0.33 μB per formula unit
Raw formation energy   0.43 eV per atom
Energy   -4.854 eV/atom
Offset from the most stable computed form   0.00 kJ per mole of atoms

Cell: 4.3810 4.3810 5.0475 Å, 90.00 90.00 90.00°
Sites, in units of the cell vectors:
Fe1 0.0000 0.0000 0.0000
As1 0.0000 0.5000 0.0000
As2 0.5000 0.0000 0.0000
Pd1 0.5000 0.5000 0.5000
Se1 0.0000 0.0000 0.5000

Entry 6:
# UFeAs2Pd2

Crystalline UFeAs2Pd2 at its relaxed geometry (GGA-PBE, Alexandria via LeMat-Bulk).

Calculated values
Crystal system   orthorhombic
Total moment   0.44 μB per formula unit
Energy   -6.956 eV/atom
Formation energy   -0.38 eV/atom

Cell: 4.0301 7.6306 6.6834 Å, 90.00 90.00 90.00°
Sites, in units of the cell vectors:
U1 0.0000 0.0409 0.0000
U2 0.0000 0.9591 0.5000
Fe1 0.5000 0.1528 0.6691
Fe2 0.5000 0.8472 0.1691
As1 0.0000 0.3288 0.7094
As2 0.0000 0.6712 0.2094
As3 0.5000 0.1588 0.2884
As4 0.5000 0.8412 0.7884
Pd1 0.0000 0.3693 0.3297
Pd2 0.0000 0.6307 0.8297
Pd3 0.5000 0.3773 0.9921
Pd4 0.5000 0.6227 0.4921

Q: Which formula does entry 5 have?
A: FeAs2PdSe